A geometry-optimized MgP2N structure. Source: Alexandria via LeMat-Bulk, functional PBE.

a b c (Å): 4.2999 4.2999 4.2999
angles (deg): 60.00 60.00 60.00
Last column: nearest neighbours and their distance in Å.
Fractional coordinates of all 4 atoms:
1 P 0.2500 0.2500 0.2500  4 Mg 2.63, 4 N 2.63
2 P 0.7500 0.7500 0.7500  4 Mg 2.63, 4 N 2.63
3 Mg 0.5000 0.5000 0.5000  8 P 2.63
4 N 0.0000 0.0000 0.0000  8 P 2.63

Summary:
Uncorrected energy: -3.91 eV/atom
Relative energy among the computed polymorphs: 0.921 eV per atom
SG: Fm-3m, No. 225
ΔE_f (raw): 1.28 eV per atom
Spin magnetization: 0.0 μB/f.u.
Crystal system: cubic